Entry from Alexandria: Tm2ThAg after structural relaxation (PBE-GGA).

Computed properties:
Magnetization ... 0.0 μB/f.u.
Formation energy from the elements ... 5.0 kJ/mol of atoms
E above lowest polymorph ... 0.202 eV/atom
Symmetry ... No. 123

Geometry as POSCAR:
```
Tm2ThAg
1.0
5.515 0.000 0.000
0.000 5.515 0.000
0.000 0.000 3.558
Tm Th Ag
2 1 1
Direct
0.000 0.500 0.000
0.500 0.000 0.000
0.000 0.000 0.500
0.500 0.500 0.500
```

Entry from Alexandria: TmThAg4 after structural relaxation (PBE-GGA).

Computed properties:
Magnetization ... 0.0 μB/f.u.
Formation energy from the elements ... -7.4 kJ/mol of atoms
E above lowest polymorph ... 0.108 eV/atom
Symmetry ... No. 216

Geometry as POSCAR:
```
TmThAg4
1.0
0.000 4.045 4.045
4.045 0.000 4.045
4.045 4.045 0.000
Tm Th Ag
1 1 4
Direct
0.000 0.000 0.000
0.750 0.750 0.750
0.375 0.375 0.375
0.375 0.375 0.876
0.375 0.876 0.375
0.876 0.375 0.375
```

Entry from Alexandria: TmThAg4 after structural relaxation (PBE-GGA).

Computed properties:
Magnetization ... 0.0 μB/f.u.
Formation energy from the elements ... -17.9 kJ/mol of atoms
E above lowest polymorph ... 0.000 eV/atom
Symmetry ... No. 123

Geometry as POSCAR:
```
TmThAg4
1.0
3.657 0.000 0.000
0.000 3.657 0.000
0.000 0.000 9.944
Tm Th Ag
1 1 4
Direct
0.000 0.000 0.000
0.500 0.500 0.500
0.000 0.000 0.304
0.000 0.000 0.696
0.500 0.500 0.163
0.500 0.500 0.837
```

Entry from Alexandria: TmThAg3 after structural relaxation (PBE-GGA).

Computed properties:
Magnetization ... 0.0 μB/f.u.
Formation energy from the elements ... -18.9 kJ/mol of atoms
Symmetry ... No. 63

Geometry as POSCAR:
```
TmThAg3
1.0
1.708 -14.165 0.000
1.708 14.165 0.000
0.000 0.000 4.849
Tm Th Ag
2 2 6
Direct
0.211 0.789 0.750
0.789 0.211 0.250
0.076 0.924 0.250
0.924 0.076 0.750
0.320 0.680 0.750
0.376 0.624 0.250
0.476 0.524 0.250
0.524 0.476 0.750
0.624 0.376 0.750
0.680 0.320 0.250
```

Entry from Alexandria: Tm2Th2Ag after structural relaxation (PBE-GGA).

Computed properties:
Magnetization ... 0.0 μB/f.u.
Formation energy from the elements ... -10.5 kJ/mol of atoms
Symmetry ... No. 139

Geometry as POSCAR:
```
Tm2Th2Ag
1.0
-1.782 1.782 11.126
1.782 -1.782 11.126
1.782 1.782 -11.126
Tm Th Ag
2 2 1
Direct
0.082 0.082 0.000
0.918 0.918 0.000
0.306 0.306 0.000
0.694 0.694 0.000
0.500 0.500 0.000
```

Entry from Alexandria: Tm2ThAg after structural relaxation (PBE-GGA).

Computed properties:
Magnetization ... 0.0 μB/f.u.
Formation energy from the elements ... -2.0 kJ/mol of atoms
E above lowest polymorph ... 0.130 eV/atom
Symmetry ... No. 166

Geometry as POSCAR:
```
Tm2ThAg
1.0
1.769 1.022 10.273
-1.769 1.022 10.273
0.000 -2.043 10.273
Tm Th Ag
2 1 1
Direct
0.242 0.242 0.242
0.758 0.758 0.758
0.000 0.000 0.000
0.500 0.500 0.500
```

Entry from Alexandria: TmThAg after structural relaxation (PBE-GGA).

Computed properties:
Magnetization ... 0.0 μB/f.u.
Formation energy from the elements ... 8.6 kJ/mol of atoms
E above lowest polymorph ... 0.205 eV/atom
Symmetry ... No. 156

Geometry as POSCAR:
```
TmThAg
1.0
5.081 0.000 0.000
-2.540 4.400 0.000
0.000 0.000 3.715
Tm Th Ag
1 1 1
Direct
0.000 0.000 0.000
0.333 0.667 0.500
0.667 0.333 0.003
```

Entry from Alexandria: Tm3ThAg4 after structural relaxation (PBE-GGA).

Computed properties:
Magnetization ... 0.2 μB/f.u.
Formation energy from the elements ... -22.7 kJ/mol of atoms
Symmetry ... No. 51

Geometry as POSCAR:
```
Tm3ThAg4
1.0
10.247 0.000 0.000
0.000 7.316 0.000
0.000 0.000 5.124
Tm Th Ag
6 2 8
Direct
0.000 0.000 0.000
0.250 0.000 0.499
0.250 0.500 0.499
0.500 0.000 0.000
0.750 0.000 0.501
0.750 0.500 0.501
0.000 0.500 0.000
0.500 0.500 0.000
0.000 0.237 0.500
0.000 0.763 0.500
0.250 0.237 0.999
0.250 0.763 0.999
0.500 0.237 0.500
0.500 0.763 0.500
0.750 0.237 0.001
0.750 0.763 0.001
```

Entry from Alexandria: TmThAg2 after structural relaxation (PBE-GGA).

Computed properties:
Magnetization ... 0.0 μB/f.u.
Formation energy from the elements ... -13.9 kJ/mol of atoms
E above lowest polymorph ... 0.043 eV/atom
Symmetry ... No. 225

Geometry as POSCAR:
```
TmThAg2
1.0
0.000 3.682 3.682
3.682 0.000 3.682
3.682 3.682 0.000
Tm Th Ag
1 1 2
Direct
0.000 0.000 0.000
0.500 0.500 0.500
0.250 0.250 0.250
0.750 0.750 0.750
```

Entry from Alexandria: Tm2ThAg after structural relaxation (PBE-GGA).

Computed properties:
Magnetization ... 0.0 μB/f.u.
Formation energy from the elements ... 1.3 kJ/mol of atoms
E above lowest polymorph ... 0.164 eV/atom
Symmetry ... No. 160

Geometry as POSCAR:
```
Tm2ThAg
1.0
1.760 1.016 10.450
-1.760 1.016 10.450
0.000 -2.032 10.450
Tm Th Ag
2 1 1
Direct
0.000 0.000 0.000
0.186 0.186 0.186
0.759 0.759 0.759
0.593 0.593 0.593
```

Entry from Alexandria: Th2UAg after structural relaxation (PBE-GGA).

Computed properties:
Magnetization ... 2.7 μB/f.u.
Formation energy from the elements ... 23.8 kJ/mol of atoms
E above lowest polymorph ... 0.124 eV/atom
Symmetry ... No. 123

Geometry as POSCAR:
```
Th2UAg
1.0
3.792 0.000 0.000
0.000 3.792 0.000
0.000 0.000 7.391
Th U Ag
2 1 1
Direct
0.000 0.000 0.248
0.000 0.000 0.752
0.500 0.500 0.000
0.500 0.500 0.500
```

Entry from Alexandria: Th2UAg after structural relaxation (PBE-GGA).

Computed properties:
Magnetization ... 0.0 μB/f.u.
Formation energy from the elements ... 11.8 kJ/mol of atoms
E above lowest polymorph ... 0.000 eV/atom
Symmetry ... No. 123

Geometry as POSCAR:
```
Th2UAg
1.0
5.583 0.000 0.000
0.000 5.583 0.000
0.000 0.000 3.285
Th U Ag
2 1 1
Direct
0.000 0.500 0.000
0.500 0.000 0.000
0.000 0.000 0.500
0.500 0.500 0.500
```